VASP calculation (PBE) on crystalline Ca2YTiC at its relaxed geometry.

Properties
energy relative to the elements = 1.448 eV per atom
crystal system = tetragonal
E = -4.069 eV/atom
theoretical density = 2.34 Mg/m³

abc: 6.2729 6.2729 4.1315
angles: 90.00 90.00 90.00
Space group P4/mmm (No. 123)
Inequivalent atoms, fractional coordinates:
Ca 0.0000 0.5000 0.0000 [2 per cell]
Y 0.0000 0.0000 0.0000 [1 per cell]
Ti 0.5000 0.5000 0.5000 [1 per cell]
C 0.0000 0.0000 0.5000 [1 per cell]

---

VASP calculation (PBE) on crystalline CaTl2C at its relaxed geometry.

Properties
energy relative to the elements = 1.069 eV per atom
crystal system = cubic
excess energy over the best structure of this formula in the dataset = 0.444 eV/atom
E = -2.921 eV/atom
theoretical density = 8.25 Mg/m³

abc: 7.1853 7.1853 7.1853
angles: 90.00 90.00 90.00
Space group Fm-3m (No. 225)
Inequivalent atoms, fractional coordinates:
Ca 0.0000 0.0000 0.0000 [4 per cell]
Tl 0.2500 0.2500 0.2500 [8 per cell]
C 0.0000 0.0000 0.5000 [4 per cell]

---

VASP calculation (PBE) on crystalline CaTlC2 at its relaxed geometry.

Properties
energy relative to the elements = 1.683 eV per atom
crystal system = cubic
excess energy over the best structure of this formula in the dataset = 0.010 eV/atom
E = -4.021 eV/atom
theoretical density = 7.22 Mg/m³

abc: 6.2738 6.2738 6.2738
angles: 90.00 90.00 90.00
Space group Fm-3m (No. 225)
Inequivalent atoms, fractional coordinates:
Ca 0.0000 0.0000 0.0000 [4 per cell]
Tl 0.0000 0.0000 0.5000 [4 per cell]
C 0.2500 0.2500 0.2500 [8 per cell]

---

VASP calculation (PBE) on crystalline Ca2TlC2 at its relaxed geometry.

Properties
energy relative to the elements = 1.139 eV per atom
crystal system = tetragonal
E = -3.824 eV/atom
theoretical density = 4.68 Mg/m³

abc: 4.3757 4.3757 11.4414
angles: 90.00 90.00 90.00
Space group I4/mmm (No. 139)
Inequivalent atoms, fractional coordinates:
Ca 0.0000 0.0000 0.1587 [4 per cell]
Tl 0.0000 0.0000 0.5000 [2 per cell]
C 0.0000 0.5000 0.2500 [4 per cell]

---

VASP calculation (PBE) on crystalline CaTl2C at its relaxed geometry.

Properties
energy relative to the elements = 0.625 eV per atom
crystal system = tetragonal
excess energy over the best structure of this formula in the dataset = 0.000 eV/atom
E = -3.365 eV/atom
theoretical density = 8.31 Mg/m³

abc: 8.2973 8.2973 5.3504
angles: 90.00 90.00 90.00
Space group I-42d (No. 122)
Inequivalent atoms, fractional coordinates:
Ca 0.0000 0.0000 0.0000 [4 per cell]
Tl 0.1562 0.2500 0.6250 [8 per cell]
C 0.0000 0.0000 0.5000 [4 per cell]

---

VASP calculation (PBE) on crystalline CaTl2C2 at its relaxed geometry.

Properties
energy relative to the elements = 1.330 eV per atom
crystal system = tetragonal
excess energy over the best structure of this formula in the dataset = 0.000 eV/atom
E = -3.706 eV/atom
theoretical density = 8.29 Mg/m³

abc: 4.4491 4.4491 9.5735
angles: 90.00 90.00 90.00
Space group I4/mmm (No. 139)
Inequivalent atoms, fractional coordinates:
Ca 0.0000 0.0000 0.0000 [2 per cell]
Tl 0.0000 0.0000 0.3476 [4 per cell]
C 0.0000 0.5000 0.2500 [4 per cell]

---

VASP calculation (PBE) on crystalline CaTlC at its relaxed geometry.

Properties
energy relative to the elements = -0.096 eV per atom
crystal system = monoclinic
E = -4.627 eV/atom
theoretical density = 6.03 Mg/m³

abc: 7.0914 3.7623 10.7808
angles: 90.00 100.86 90.00
Space group C2/m (No. 12)
Inequivalent atoms, fractional coordinates:
Ca 0.0830 0.0000 0.3483 [4 per cell]
Tl 0.1906 0.5000 0.1082 [4 per cell]
C 0.0822 0.5000 0.5368 [4 per cell]

---

VASP calculation (PBE) on crystalline Ca2TlC at its relaxed geometry.

Properties
energy relative to the elements = 0.434 eV per atom
crystal system = tetragonal
E = -3.464 eV/atom
theoretical density = 4.68 Mg/m³

abc: 7.7137 7.7137 7.0676
angles: 90.00 90.00 90.00
Space group I-42d (No. 122)
Inequivalent atoms, fractional coordinates:
Ca 0.1521 0.2500 0.1250 [8 per cell]
Tl 0.0000 0.0000 0.5000 [4 per cell]
C 0.0000 0.0000 0.0000 [4 per cell]